# 1
VASP calculation (PBE) on crystalline Tb3DyEr2P6 at its relaxed geometry.

The calculation puts the density of states at the Fermi level at 0.14 states/eV/atom. The calculation puts the formation energy from the elements at -1.6120 eV/atom. The value obtained for the total magnetization is 0.00 Bohr magnetons per cell.

It has space group C2/m (No. 12), with a = 6.936 Å, b = 12.012 Å, c = 6.935 Å, α = 90.00°, β = 109.45° and γ = 90.00°. Symmetry generates all atoms from Tb at (0.000, 0.000, 0.000), Tb at (0.000, 0.334, 0.000), Dy at (0.000, 0.500, 0.500), Er at (0.000, 0.167, 0.500), P at (0.248, 0.000, 0.747) and P at (0.250, 0.167, 0.253).

# 2
VASP calculation (PBE) on crystalline Dy3ErTh2P6 at its relaxed geometry.

The calculation puts the density of states at the Fermi level at 0.31 states/eV/atom. The calculation puts the formation energy from the elements at -1.5995 eV/atom. The value obtained for the total magnetization is 0.00 Bohr magnetons per cell.

It has space group C2/m (No. 12), with a = 17.646 Å, b = 4.059 Å, c = 8.086 Å, α = 90.00°, β = 103.18° and γ = 90.00°. Symmetry generates all atoms from Dy at (0.000, 0.000, 0.000), Dy at (0.166, 0.500, 0.334), Er at (0.000, 0.000, 0.500), Th at (0.165, 0.500, 0.830), P at (0.002, 0.500, 0.253), P at (0.165, 0.000, 0.087) and P at (0.166, 0.000, 0.577).

# 3
VASP calculation (PBE) on crystalline DyEr2ThP4 at its relaxed geometry.

The calculation puts the density of states at the Fermi level at 0.18 states/eV/atom. The calculation puts the formation energy from the elements at -1.6101 eV/atom. The value obtained for the total magnetization is 0.00 Bohr magnetons per cell.

It has space group P2/m (No. 10), with a = 6.961 Å, b = 4.032 Å, c = 6.968 Å, α = 90.00°, β = 109.48° and γ = 90.00°. Symmetry generates all atoms from Dy at (0.000, 0.000, 0.000), Er at (0.500, 0.000, 0.500), Er at (0.500, 0.500, 0.000), Th at (0.000, 0.500, 0.500), P at (0.254, 0.500, 0.249) and P at (0.257, 0.000, 0.756).

# 4
VASP calculation (PBE) on crystalline Dy2ErThP4 at its relaxed geometry.

The calculation puts the density of states at the Fermi level at 0.18 states/eV/atom. The calculation puts the formation energy from the elements at -1.6110 eV/atom. The value obtained for the total magnetization is 0.00 Bohr magnetons per cell.

It has space group P2/m (No. 10), with a = 6.980 Å, b = 4.042 Å, c = 6.987 Å, α = 90.00°, β = 109.47° and γ = 90.00°. Symmetry generates all atoms from Dy at (0.000, 0.000, 0.000), Dy at (0.500, 0.500, 0.000), Er at (0.000, 0.500, 0.500), Th at (0.500, 0.000, 0.500), P at (0.244, 0.500, 0.246) and P at (0.246, 0.000, 0.750).

# 5
VASP calculation (PBE) on crystalline DyErTh2P4 at its relaxed geometry.

The calculation puts the density of states at the Fermi level at 0.46 states/eV/atom. The calculation puts the formation energy from the elements at -1.5818 eV/atom. The value obtained for the total magnetization is 0.00 Bohr magnetons per cell.

It has space group P2/m (No. 10), with a = 7.006 Å, b = 4.080 Å, c = 7.069 Å, α = 90.00°, β = 109.71° and γ = 90.00°. Symmetry generates all atoms from Dy at (0.000, 0.000, 0.000), Er at (0.000, 0.500, 0.500), Th at (0.500, 0.000, 0.500), Th at (0.500, 0.500, 0.000), P at (0.241, 0.000, 0.746) and P at (0.242, 0.500, 0.248).

# 6
VASP calculation (PBE) on crystalline Dy2ErUP4 at its relaxed geometry.

The calculation puts the density of states at the Fermi level at 0.83 states/eV/atom. The calculation puts the formation energy from the elements at -1.4533 eV/atom. The value obtained for the total magnetization is 2.05 Bohr magnetons per cell.

It has space group P2/m (No. 10), with a = 6.876 Å, b = 3.963 Å, c = 6.883 Å, α = 90.00°, β = 109.23° and γ = 90.00°. Symmetry generates all atoms from Dy at (0.000, 0.000, 0.000), Dy at (0.500, 0.500, 0.000), Er at (0.000, 0.500, 0.500), U at (0.500, 0.000, 0.500), P at (0.253, 0.000, 0.744) and P at (0.254, 0.500, 0.256).

# 7
VASP calculation (PBE) on crystalline DyEr2UP4 at its relaxed geometry.

The calculation puts the density of states at the Fermi level at 0.84 states/eV/atom. The calculation puts the formation energy from the elements at -1.4507 eV/atom. The value obtained for the total magnetization is 2.07 Bohr magnetons per cell.

It has space group P2/m (No. 10), with a = 6.860 Å, b = 3.954 Å, c = 6.866 Å, α = 90.00°, β = 109.24° and γ = 90.00°. Symmetry generates all atoms from Dy at (0.000, 0.000, 0.000), Er at (0.500, 0.000, 0.500), Er at (0.500, 0.500, 0.000), U at (0.000, 0.500, 0.500), P at (0.248, 0.000, 0.746) and P at (0.248, 0.500, 0.255).

# 8
VASP calculation (PBE) on crystalline DyErU2P4 at its relaxed geometry.

The calculation puts the density of states at the Fermi level at 1.09 states/eV/atom. The calculation puts the formation energy from the elements at -1.2929 eV/atom. The value obtained for the total magnetization is 4.61 Bohr magnetons per cell.

It has space group P2/m (No. 10), with a = 6.822 Å, b = 3.940 Å, c = 6.928 Å, α = 90.00°, β = 109.18° and γ = 90.00°. Symmetry generates all atoms from Dy at (0.000, 0.000, 0.000), Er at (0.500, 0.500, 0.000), U at (0.000, 0.500, 0.500), U at (0.500, 0.000, 0.500), P at (0.250, 0.000, 0.747) and P at (0.253, 0.500, 0.254).